(1)
Material: Er2NiBr2
Method: DFT, GGA-PBE
State: optimized geometry

a b c (Å): 3.8513 3.8513 32.8568
angles (deg): 90.00 90.00 120.00
With the nearest neighbours (Å) after each atom.
Space group R-3m (No. 166, hexagonal axes)
Asymmetric unit:
Er (0.0000, 0.0000, 0.1190)  3 Ni 2.72, 3 Br 2.95
Ni (0.0000, 0.0000, 0.5000)  6 Er 2.72
Br (0.0000, 0.0000, 0.2732)  3 Er 2.95

The value obtained for the uncorrected formation energy is -1.144 eV per atom. As for the total energy: -4.794 eV/atom.

(2)
Material: TlH3Pt
Method: DFT, GGA-PBE
State: optimized geometry

a b c (Å): 5.1953 5.1921 4.5662
angles (deg): 90.00 90.00 90.00
With the nearest neighbours (Å) after each atom.
Space group Pmn2_1 (No. 31)
Asymmetric unit:
Tl (0.0000, 0.0579, 0.0000)  1 H 2.38
H (0.0000, 0.8017, 0.4335)  1 Pt 1.65
H (0.2492, 0.5695, 0.8527)  2 Pt 1.77
Pt (0.0000, 0.5178, 0.5950)  5 H 1.65-1.77

As for the total energy: -3.633 eV/atom.